# 1
## SrLiP2Ir (PBE)

Data for a relaxed SrLiP2Ir crystal.

Properties
ΔH_f (0 K), eV/atom: -0.783

Lattice parameters (Å, degrees): 4.109 4.109 5.927 110.28 110.28 90.00
Fractional coordinates of all 5 atoms:
Ir (0.750, 0.250, 0.500)
Sr (0.000, 0.000, 0.000)
Li (0.250, 0.750, 0.500)
P (0.629, 0.629, 0.258)
P (0.371, 0.371, 0.742)

# 2
## SrLi2PIr (PBE)

Data for a relaxed SrLi2PIr crystal.

Properties
ΔH_f (0 K), eV/atom: -0.441

Lattice parameters (Å, degrees): 4.806 4.806 4.458 90.00 90.00 90.00
Fractional coordinates of all 5 atoms:
Ir (0.000, 0.000, 0.000)
Li (0.500, 0.000, 0.000)
Li (0.000, 0.500, 0.000)
P (0.000, 0.000, 0.500)
Sr (0.500, 0.500, 0.500)

# 3
## LiTcPIr2 (PBE)

Data for a relaxed LiTcPIr2 crystal.

Properties
ΔH_f (0 K), eV/atom: 0.575

Lattice parameters (Å, degrees): 4.388 4.278 4.388 90.00 90.00 90.00
Last column: magnetic moment on the atom in μB.
Fractional coordinates of all 5 atoms:
Ir (0.000, 0.000, 0.500)  0.33
Li (0.000, 0.500, 0.000)  0.01
P (0.000, 0.000, 0.000)  0.04
Ir (0.500, 0.000, 0.000)  0.37
Tc (0.500, 0.500, 0.500)  2.89

# 4
## LiTcPIr (PBE)

Data for a relaxed LiTcPIr crystal.

Properties
ΔH_f (0 K), eV/atom: -0.321

Lattice parameters (Å, degrees): 4.091 4.091 4.091 60.00 60.00 60.00
Fractional coordinates of all 4 atoms:
Tc (0.500, 0.500, 0.500)
Li (0.750, 0.750, 0.750)
P (0.250, 0.250, 0.250)
Ir (0.000, 0.000, 0.000)

# 5
## LiTcP2Ir (PBE)

Data for a relaxed LiTcP2Ir crystal.

Properties
ΔH_f (0 K), eV/atom: -0.617

Lattice parameters (Å, degrees): 4.080 4.080 5.403 112.19 112.19 90.00
Fractional coordinates of all 5 atoms:
Li (0.000, 0.000, 0.000)
P (0.624, 0.624, 0.248)
Ir (0.250, 0.750, 0.500)
Tc (0.750, 0.250, 0.500)
P (0.376, 0.376, 0.752)

# 6
## LiThP2Ir7 (PBE)

Data for a relaxed LiThP2Ir7 crystal.

Properties
ΔH_f (0 K), eV/atom: -0.174

Lattice parameters (Å, degrees): 4.191 4.191 10.125 101.95 101.95 90.00
Fractional coordinates of all 11 atoms:
Ir (0.615, 0.115, 0.231)
Ir (0.110, 0.610, 0.220)
P (0.169, 0.169, 0.339)
Ir (0.285, 0.285, 0.570)
Ir (0.715, 0.715, 0.430)
Ir (0.000, 0.000, 0.000)
Th (0.500, 0.500, 0.000)
Li (0.250, 0.750, 0.500)
Ir (0.390, 0.890, 0.780)
P (0.831, 0.831, 0.661)
Ir (0.885, 0.385, 0.769)

# 7
## LiTh2P3Ir4 (PBE)

Data for a relaxed LiTh2P3Ir4 crystal.

Properties
ΔH_f (0 K), eV/atom: -0.969

Lattice parameters (Å, degrees): 4.040 4.040 10.308 90.00 90.00 90.00
Fractional coordinates of all 10 atoms:
Ir (0.000, 0.000, 0.000)
Ir (0.000, 0.500, 0.362)
Th (0.000, 0.500, 0.749)
P (0.000, 0.000, 0.500)
P (0.000, 0.500, 0.135)
Ir (0.500, 0.500, 0.000)
P (0.500, 0.000, 0.865)
Th (0.500, 0.000, 0.251)
Li (0.500, 0.500, 0.500)
Ir (0.500, 0.000, 0.638)

# 8
## LiU2P3Ir4 (PBE)

Data for a relaxed LiU2P3Ir4 crystal.

Properties
ΔH_f (0 K), eV/atom: -0.696

Lattice parameters (Å, degrees): 3.900 3.900 10.671 90.00 90.00 90.00
Last column: magnetic moment on the atom in μB.
Fractional coordinates of all 10 atoms:
P (0.000, 0.500, 0.131)  0.00
P (0.500, 0.000, 0.869)  0.00
Ir (0.000, 0.500, 0.347)  -0.09
Ir (0.000, 0.000, 0.000)  0.01
Ir (0.500, 0.000, 0.653)  -0.09
Li (0.500, 0.500, 0.500)  0.01
U (0.500, 0.000, 0.248)  1.71
Ir (0.500, 0.500, 0.000)  0.01
P (0.000, 0.000, 0.500)  -0.03
U (0.000, 0.500, 0.752)  1.71

# 9
## LiYP2Ir (PBE)

Data for a relaxed LiYP2Ir crystal.

Properties
ΔH_f (0 K), eV/atom: 0.896

Lattice parameters (Å, degrees): 5.254 5.254 5.185 90.00 90.00 90.00
Last column: magnetic moment on the atom in μB.
Fractional coordinates of all 5 atoms:
Ir (0.000, 0.000, 0.500)  0.64
Li (0.500, 0.500, 0.500)  0.00
P (0.500, 0.000, 0.000)  0.01
P (0.000, 0.500, 0.000)  0.01
Y (0.000, 0.000, 0.000)  0.00

# 10
## LiY2P3Ir4 (PBE)

Data for a relaxed LiY2P3Ir4 crystal.

Properties
ΔH_f (0 K), eV/atom: -0.942

Lattice parameters (Å, degrees): 4.034 4.034 9.878 90.00 90.00 90.00
Fractional coordinates of all 10 atoms:
Ir (0.500, 0.000, 0.632)
P (0.500, 0.000, 0.861)
Li (0.500, 0.500, 0.500)
Ir (0.000, 0.000, 0.000)
Y (0.500, 0.000, 0.255)
Ir (0.000, 0.500, 0.368)
Ir (0.500, 0.500, 0.000)
P (0.000, 0.000, 0.500)
Y (0.000, 0.500, 0.745)
P (0.000, 0.500, 0.139)

# 11
## Li2PaIr2 (PBE)

Data for a relaxed Li2PaIr2 crystal.

Properties
ΔH_f (0 K), eV/atom: -0.455

Lattice parameters (Å, degrees): 4.830 4.830 6.904 49.14 49.14 46.53
Fractional coordinates of all 5 atoms:
Li (0.421, 0.421, 0.406)
Li (0.579, 0.579, 0.594)
Ir (0.795, 0.795, 0.794)
Ir (0.205, 0.205, 0.206)
Pa (0.000, 0.000, 0.000)

# 12
## LiPa2Ir (PBE)

Data for a relaxed LiPa2Ir crystal.

Properties
Offset from the most stable computed form, meV/atom: 282.6
ΔH_f (0 K), eV/atom: 0.114

Lattice parameters (Å, degrees): 3.046 3.046 11.257 82.23 82.23 60.00
Fractional coordinates of all 4 atoms:
Li (0.000, 0.000, 0.000)
Ir (0.500, 0.500, 0.500)
Pa (0.905, 0.905, 0.284)
Pa (0.095, 0.095, 0.716)

# 13
## LiPa2Ir (PBE)

Data for a relaxed LiPa2Ir crystal.

Properties
Offset from the most stable computed form, meV/atom: 0.0
ΔH_f (0 K), eV/atom: -0.168

Lattice parameters (Å, degrees): 4.163 4.362 4.362 90.00 90.00 90.00
Fractional coordinates of all 4 atoms:
Ir (0.500, 0.500, 0.500)
Pa (0.000, 0.000, 0.500)
Pa (0.000, 0.500, 0.000)
Li (0.500, 0.000, 0.000)

# 14
## Li6Pa4Ir7 (PBE)

Data for a relaxed Li6Pa4Ir7 crystal.

Properties
ΔH_f (0 K), eV/atom: -0.364

Lattice parameters (Å, degrees): 7.110 7.110 7.110 109.47 109.47 109.47
Fractional coordinates of all 17 atoms:
Ir (0.250, 0.750, 0.500)
Pa (0.000, 0.500, 0.000)
Li (0.000, 0.693, 0.693)
Ir (0.500, 0.250, 0.750)
Li (0.307, 0.307, 0.000)
Li (0.307, 0.000, 0.307)
Ir (0.500, 0.750, 0.250)
Li (0.693, 0.693, 0.000)
Li (0.000, 0.307, 0.307)
Pa (0.000, 0.000, 0.500)
Ir (0.250, 0.500, 0.750)
Pa (0.500, 0.000, 0.000)
Li (0.693, 0.000, 0.693)
Pa (0.500, 0.500, 0.500)
Ir (0.750, 0.250, 0.500)
Ir (0.750, 0.500, 0.250)
Ir (0.000, 0.000, 0.000)

# 15
## LiPa5Ir5 (PBE)

Data for a relaxed LiPa5Ir5 crystal.

Properties
ΔH_f (0 K), eV/atom: -0.488

Lattice parameters (Å, degrees): 5.560 6.819 7.739 107.32 90.00 114.06
Fractional coordinates of all 11 atoms:
Pa (0.340, 0.681, 0.171)
Ir (0.845, 0.691, 0.161)
Li (0.000, 0.000, 0.000)
Ir (0.155, 0.309, 0.839)
Ir (0.838, 0.677, 0.678)
Pa (0.319, 0.639, 0.669)
Pa (0.681, 0.361, 0.331)
Pa (0.660, 0.319, 0.829)
Pa (0.000, 0.000, 0.500)
Ir (0.500, 0.000, 0.000)
Ir (0.162, 0.323, 0.322)

# 16
## LiPrPaIr (PBE)

Data for a relaxed LiPrPaIr crystal.

Properties
ΔH_f (0 K), eV/atom: -0.123

Lattice parameters (Å, degrees): 5.006 5.006 5.006 60.00 60.00 60.00
Last column: magnetic moment on the atom in μB.
Fractional coordinates of all 4 atoms:
Li (0.000, 0.000, 0.000)  0.01
Pa (0.750, 0.750, 0.750)  0.37
Ir (0.500, 0.500, 0.500)  -0.02
Pr (0.250, 0.250, 0.250)  0.04

# 17
## LiPaIrPt (PBE)

Data for a relaxed LiPaIrPt crystal.

Properties
ΔH_f (0 K), eV/atom: -0.677

Lattice parameters (Å, degrees): 4.691 4.691 4.691 60.00 60.00 60.00
Fractional coordinates of all 4 atoms:
Li (0.500, 0.500, 0.500)
Pt (0.750, 0.750, 0.750)
Ir (0.250, 0.250, 0.250)
Pa (0.000, 0.000, 0.000)

# 18
## LiPuPaIr (PBE)

Data for a relaxed LiPuPaIr crystal.

Properties
ΔH_f (0 K), eV/atom: -0.164

Lattice parameters (Å, degrees): 4.885 4.885 4.885 60.00 60.00 60.00
Last column: magnetic moment on the atom in μB.
Fractional coordinates of all 4 atoms:
Li (0.750, 0.750, 0.750)  0.02
Pu (0.000, 0.000, 0.000)  5.24
Pa (0.500, 0.500, 0.500)  0.58
Ir (0.250, 0.250, 0.250)  -0.18

# 19
## LiPaIrRh (PBE)

Data for a relaxed LiPaIrRh crystal.

Properties
Offset from the most stable computed form, meV/atom: 114.9
ΔH_f (0 K), eV/atom: -0.602

Lattice parameters (Å, degrees): 4.621 4.621 4.621 60.00 60.00 60.00
Fractional coordinates of all 4 atoms:
Li (0.250, 0.250, 0.250)
Pa (0.750, 0.750, 0.750)
Rh (0.500, 0.500, 0.500)
Ir (0.000, 0.000, 0.000)

# 20
## LiPaIrRh (PBE)

Data for a relaxed LiPaIrRh crystal.

Properties
Offset from the most stable computed form, meV/atom: 0.0
ΔH_f (0 K), eV/atom: -0.717

Lattice parameters (Å, degrees): 3.759 4.258 4.183 90.00 90.00 90.00
Fractional coordinates of all 4 atoms:
Rh (0.000, 0.500, 0.500)
Li (0.500, 0.500, 0.000)
Pa (0.500, 0.000, 0.500)
Ir (0.000, 0.000, 0.000)

# 21
## LiPaSbIr (PBE)

Data for a relaxed LiPaSbIr crystal.

Properties
Formation energy from raw total energies, eV per atom: -0.43

Lattice parameters (Å, degrees): 4.781 4.781 4.781 60.00 60.00 60.00
Fractional coordinates of all 4 atoms:
Ir (0.500, 0.500, 0.500)
Sb (0.750, 0.750, 0.750)
Li (0.000, 0.000, 0.000)
Pa (0.250, 0.250, 0.250)

# 22
## LiScPaIr (PBE)

Data for a relaxed LiScPaIr crystal.

Properties
ΔH_f (0 K), eV/atom: -0.326

Lattice parameters (Å, degrees): 4.793 4.793 4.793 60.00 60.00 60.00
Last column: magnetic moment on the atom in μB.
Fractional coordinates of all 4 atoms:
Pa (0.750, 0.750, 0.750)  0.21
Sc (0.250, 0.250, 0.250)  0.04
Li (0.000, 0.000, 0.000)  0.01
Ir (0.500, 0.500, 0.500)  -0.01

# 23
## LiPaSi2Ir (PBE)

Data for a relaxed LiPaSi2Ir crystal.

Properties
Formation energy from raw total energies, eV per atom: -0.72

Lattice parameters (Å, degrees): 4.024 4.024 5.807 110.27 110.27 90.00
Fractional coordinates of all 5 atoms:
Si (0.616, 0.616, 0.232)
Si (0.384, 0.384, 0.768)
Ir (0.750, 0.250, 0.500)
Pa (0.000, 0.000, 0.000)
Li (0.250, 0.750, 0.500)

# 24
## LiTbPaIr (PBE)

Data for a relaxed LiTbPaIr crystal.

Properties
ΔH_f (0 K), eV/atom: -0.251

Lattice parameters (Å, degrees): 4.927 4.927 4.927 60.00 60.00 60.00
Last column: magnetic moment on the atom in μB.
Fractional coordinates of all 4 atoms:
Pa (0.750, 0.750, 0.750)  0.33
Li (0.000, 0.000, 0.000)  0.01
Tb (0.250, 0.250, 0.250)  0.04
Ir (0.500, 0.500, 0.500)  -0.01

# 25
## LiPaTcIr (PBE)

Data for a relaxed LiPaTcIr crystal.

Properties
ΔH_f (0 K), eV/atom: -0.292

Lattice parameters (Å, degrees): 4.580 4.580 4.580 60.00 60.00 60.00
Fractional coordinates of all 4 atoms:
Li (0.000, 0.000, 0.000)
Pa (0.500, 0.500, 0.500)
Ir (0.250, 0.250, 0.250)
Tc (0.750, 0.750, 0.750)

# 26
## LiPaTlIr (PBE)

Data for a relaxed LiPaTlIr crystal.

Properties
ΔH_f (0 K), eV/atom: -0.235

Lattice parameters (Å, degrees): 4.794 4.794 4.794 60.00 60.00 60.00
Fractional coordinates of all 4 atoms:
Li (0.250, 0.250, 0.250)
Ir (0.750, 0.750, 0.750)
Tl (0.000, 0.000, 0.000)
Pa (0.500, 0.500, 0.500)

# 27
## LiPaZnIr (PBE)

Data for a relaxed LiPaZnIr crystal.

Properties
ΔH_f (0 K), eV/atom: -0.309

Lattice parameters (Å, degrees): 4.640 4.640 4.640 60.00 60.00 60.00
Fractional coordinates of all 4 atoms:
Zn (0.250, 0.250, 0.250)
Pa (0.750, 0.750, 0.750)
Li (0.000, 0.000, 0.000)
Ir (0.500, 0.500, 0.500)

# 28
## LiIrPb2 (PBE)

Data for a relaxed LiIrPb2 crystal.

Properties
Offset from the most stable computed form, meV/atom: 65.8
ΔH_f (0 K), eV/atom: 0.095

Lattice parameters (Å, degrees): 4.731 4.731 5.908 80.32 80.32 41.27
Fractional coordinates of all 4 atoms:
Li (0.250, 0.250, 0.250)
Pb (0.491, 0.491, 0.515)
Ir (0.750, 0.750, 0.750)
Pb (0.009, 0.009, 0.985)

Number 1: D(E_F) 2.6 states/eV/f.u., energy -5.438 eV/atom. Number 2: D(E_F) 1.6 states/eV/f.u., energy -4.397 eV/atom. Number 3: D(E_F) 4.5 states/eV/f.u., energy -6.507 eV/atom. Number 4: D(E_F) 2.4 states/eV/f.u., energy -6.958 eV/atom. Number 5: D(E_F) 3.3 states/eV/f.u., energy -7.009 eV/atom. Number 6: D(E_F) 10.0 states/eV/f.u., energy -7.645 eV/atom. Number 7: D(E_F) 2.3 states/eV/f.u., energy -7.812 eV/atom. Number 8: D(E_F) 13.2 states/eV/f.u., energy -8.313 eV/atom. Number 9: D(E_F) 6.1 states/eV/f.u., energy -4.716 eV/atom. Number 10: D(E_F) 3.0 states/eV/f.u., energy -7.594 eV/atom. Number 11: D(E_F) 2.5 states/eV/f.u., energy -6.664 eV/atom. Number 12: D(E_F) 7.6 states/eV/f.u., energy -7.327 eV/atom. Number 13: D(E_F) 6.7 states/eV/f.u., energy -7.610 eV/atom. Number 14: D(E_F) 16.1 states/eV/f.u., energy -6.922 eV/atom. Number 15: D(E_F) 13.3 states/eV/f.u., energy -9.006 eV/atom. Number 16: D(E_F) 6.4 states/eV/f.u., energy -6.385 eV/atom. Number 17: D(E_F) 2.9 states/eV/f.u., energy -7.255 eV/atom. Number 18: D(E_F) 7.5 states/eV/f.u., energy -8.815 eV/atom. Number 19: D(E_F) 2.0 states/eV/f.u., energy -7.508 eV/atom. Number 20: D(E_F) 1.7 states/eV/f.u., energy -7.623 eV/atom. Number 21: D(E_F) 3.7 states/eV/f.u., energy -6.529 eV/atom. Number 22: D(E_F) 4.8 states/eV/f.u., energy -6.977 eV/atom. Number 23: D(E_F) 4.0 states/eV/f.u., energy -6.944 eV/atom. Number 24: D(E_F) 5.7 states/eV/f.u., energy -6.476 eV/atom. Number 25: D(E_F) 2.1 states/eV/f.u., energy -7.951 eV/atom. Number 26: D(E_F) 3.0 states/eV/f.u., energy -5.895 eV/atom. Number 27: D(E_F) 4.8 states/eV/f.u., energy -5.695 eV/atom. Number 28: D(E_F) 1.9 states/eV/f.u., energy -4.453 eV/atom.